Computed, not measured: an optimized crystal structure of LaHf3Ir at the GGA-PBEsol level of DFT.

## Properties
Density in Mg/m³: 11.19
DFT total energy in Ha/atom: -0.3423
Calculated formation energy in eV/atom: 0.021
Crystal system: cubic

Cell lengths 5.048, 5.048, 5.048 Å; angles 90.00, 90.00, 90.00 degrees
Positions (direct):
Ir1 0.000 0.000 0.000
Hf1 0.000 0.500 0.000
Hf2 0.000 0.000 0.500
Hf3 0.500 0.000 0.000
La1 0.500 0.500 0.500